1.
Be2AsSe: relaxed, PBE.

**Total magnetic moment**: 0.0 μB/f.u.
**Volume**: 58.66 Å³/cell
**Space group**: Pmmm (47)
**Formation energy (no corrections)**: 0.25 eV/atom
**Excess energy over the best structure of this formula in the dataset**: 523 meV per atom

```
Be2AsSe
1.0
3.339 0.000 0.000
0.000 2.745 -0.005
0.000 0.012 6.399
Be Se As
2 1 1
direct
0.000 0.250 0.529
0.000 0.250 0.971
0.500 0.250 0.250
0.500 0.750 0.750
```


2.
BeAsSe: relaxed, PBE.

**Total magnetic moment**: 0.0 μB/f.u.
**Volume**: 61.02 Å³/cell
**Space group**: Fmm2 (42)
**Formation energy (no corrections)**: 0.20 eV/atom
**Excess energy over the best structure of this formula in the dataset**: 107 meV per atom

```
BeAsSe
1.0
6.286 -0.118 0.085
4.840 3.145 -0.051
1.446 -1.139 3.060
As Be Se
1 1 1
direct
0.955 0.955 0.045
0.329 0.329 0.671
0.716 0.716 0.284
```